[1]
CaLa7Tb2 | PBE-GGA | optimized geometry

```
CaLa7Tb2
1.0
4.628 -8.036 0.000
4.628 8.036 0.000
0.000 0.000 5.935
Ca La Tb
1 7 2
Cartesian
0.000 0.000 0.000
1.714 1.923 2.967
4.628 3.980 0.000
1.714 -1.923 2.967
4.628 0.000 2.967
7.543 1.923 2.967
4.628 -3.980 0.000
7.543 -1.923 2.967
4.628 3.253 2.967
4.628 -3.253 2.967
```

Calculated values
ΔH_f (0 K): 0.5366 eV/atom
crystal system: orthorhombic
mass density: 5.00 g/cm³


[2]
Na3Bi5Pd3 | PBE-GGA | optimized geometry

```
Na3Bi5Pd3
1.0
8.685 0.000 0.000
-4.342 7.521 0.000
0.000 0.000 5.597
Na Bi Pd
3 5 3
Cartesian
-1.314 2.275 0.000
2.627 0.000 0.000
3.029 5.246 0.000
-3.196 5.536 2.798
1.146 1.985 2.798
0.000 5.014 2.798
4.342 2.507 2.798
6.393 0.000 2.798
-1.602 2.774 2.798
3.203 0.000 2.798
2.741 4.747 2.798
```

Calculated values
ΔH_f (0 K): -0.0822 eV/atom
crystal system: hexagonal
mass density: 6.51 g/cm³


[3]
AlCuCl2 | PBE-GGA | optimized geometry

```
AlCuCl2
1.0
3.593 -3.592 0.000
3.593 3.592 0.000
-0.016 0.000 3.127
Al Cu Cl
1 1 2
Cartesian
0.000 0.000 0.000
3.593 0.000 0.000
1.797 1.796 0.000
1.797 -1.796 0.000
```

Calculated values
uncorrected formation energy: -195 meV/atom
crystal system: monoclinic
mass density: 3.32 g/cm³


[4]
Li4MoPt | PBE-GGA | optimized geometry

```
Li4MoPt
1.0
0.000 3.403 3.403
3.403 0.000 3.403
3.403 3.403 0.000
Li Mo Pt
4 1 1
Cartesian
2.561 2.561 2.561
4.245 4.245 2.561
4.245 2.561 4.245
2.561 4.245 4.245
0.000 0.000 0.000
5.104 5.104 5.104
```

Calculated values
ΔH_f (0 K): 0.2010 eV/atom
crystal system: cubic
mass density: 6.72 g/cm³


| no. | DFT total energy (Ry per atom) | total magnetic moment (μB/f.u.) |
| --- | --- | --- |
| 1 | -0.2968 | 0.0 |
| 2 | -0.2662 | 0.0 |
| 3 | -0.2263 | 0.0 |
| 4 | -0.2857 | 2.1 |